1.
# CaTc2Au, relaxed, DFT GGA-PBE
data_CaTc2Au
_cell_length_a 5.5070
_cell_length_b 9.9825
_cell_length_c 2.7303
_cell_angle_alpha 90.00
_cell_angle_beta 110.93
_cell_angle_gamma 90.00
_symmetry_space_group_name_H-M 'C 1 2/m 1'
_symmetry_Int_Tables_number 12
_symmetry_space_group_name_Hall '-C 2y'
loop_
_atom_site_label
_atom_site_fract_x
_atom_site_fract_y
_atom_site_fract_z
Ca1 0.0000 0.0000 0.0000
Tc1 0.2500 0.2500 0.5000
Au1 0.0000 0.5000 0.0000
# calculated formation energy	0.441	eV/atom
# polymorph energy (0 for the lowest one)	386	meV per atom
# total magnetization	0.0000	μB/atom

=====

2.
# Ca2TcAu, relaxed, DFT GGA-PBE
data_Ca2TcAu
_cell_length_a 4.3343
_cell_length_b 4.3343
_cell_length_c 9.5199
_cell_angle_alpha 90.00
_cell_angle_beta 90.00
_cell_angle_gamma 90.00
_symmetry_space_group_name_H-M 'I -4 m 2'
_symmetry_Int_Tables_number 119
_symmetry_space_group_name_Hall 'I -4 -2'
loop_
_atom_site_label
_atom_site_fract_x
_atom_site_fract_y
_atom_site_fract_z
Ca1 0.0000 0.0000 0.0000
Ca2 0.0000 0.5000 0.2500
Tc1 0.0000 0.5000 0.7500
Au1 0.0000 0.0000 0.5000
# calculated formation energy	0.255	eV/atom
# polymorph energy (0 for the lowest one)	168	meV per atom
# total magnetization	0.4346	μB/atom

=====

3.
# Ca3TcAu, relaxed, DFT GGA-PBE
data_Ca3TcAu
_cell_length_a 5.3260
_cell_length_b 5.3260
_cell_length_c 5.3260
_cell_angle_alpha 90.00
_cell_angle_beta 90.00
_cell_angle_gamma 90.00
_symmetry_space_group_name_H-M 'P m -3 m'
_symmetry_Int_Tables_number 221
_symmetry_space_group_name_Hall '-P 4 2 3'
loop_
_atom_site_label
_atom_site_fract_x
_atom_site_fract_y
_atom_site_fract_z
Ca1 0.0000 0.0000 0.5000
Tc1 0.0000 0.0000 0.0000
Au1 0.5000 0.5000 0.5000
# calculated formation energy	0.426	eV/atom
# polymorph energy (0 for the lowest one)	0	meV per atom
# total magnetization	0.0132	μB/atom

=====

4.
# Ca2TcAu, relaxed, DFT GGA-PBE
data_Ca2TcAu
_cell_length_a 3.4304
_cell_length_b 3.4304
_cell_length_c 27.3464
_cell_angle_alpha 90.00
_cell_angle_beta 90.00
_cell_angle_gamma 120.00
_symmetry_space_group_name_H-M 'R -3 m'
_symmetry_Int_Tables_number 166
_symmetry_space_group_name_Hall '-R 3 2"'
loop_
_atom_site_label
_atom_site_fract_x
_atom_site_fract_y
_atom_site_fract_z
Ca1 0.0000 0.0000 0.2478
Tc1 0.0000 0.0000 0.5000
Au1 0.0000 0.0000 0.0000
# calculated formation energy	0.286	eV/atom
# polymorph energy (0 for the lowest one)	199	meV per atom
# total magnetization	0.2456	μB/atom

=====

5.
# Ca2TcAu, relaxed, DFT GGA-PBE
data_Ca2TcAu
_cell_length_a 7.9564
_cell_length_b 7.9564
_cell_length_c 6.0581
_cell_angle_alpha 90.00
_cell_angle_beta 90.00
_cell_angle_gamma 90.00
_symmetry_space_group_name_H-M 'I -4 2 d'
_symmetry_Int_Tables_number 122
_symmetry_space_group_name_Hall 'I -4 2bw'
loop_
_atom_site_label
_atom_site_fract_x
_atom_site_fract_y
_atom_site_fract_z
Ca1 0.2436 0.7500 0.1250
Tc1 0.0000 0.0000 0.5000
Au1 0.0000 0.0000 0.0000
# calculated formation energy	0.427	eV/atom
# polymorph energy (0 for the lowest one)	340	meV per atom
# total magnetization	0.4779	μB/atom

=====

6.
# CaTc2Au, relaxed, DFT GGA-PBE
data_CaTc2Au
_cell_length_a 7.9574
_cell_length_b 7.9574
_cell_length_c 5.1180
_cell_angle_alpha 90.00
_cell_angle_beta 90.00
_cell_angle_gamma 90.00
_symmetry_space_group_name_H-M 'I -4 2 d'
_symmetry_Int_Tables_number 122
_symmetry_space_group_name_Hall 'I -4 2bw'
loop_
_atom_site_label
_atom_site_fract_x
_atom_site_fract_y
_atom_site_fract_z
Ca1 0.0000 0.0000 0.0000
Tc1 0.2142 0.2500 0.6250
Au1 0.0000 0.0000 0.5000
# calculated formation energy	0.847	eV/atom
# polymorph energy (0 for the lowest one)	792	meV per atom
# total magnetization	0.3182	μB/atom

=====

7.
# CaTc2Au, relaxed, DFT GGA-PBE
data_CaTc2Au
_cell_length_a 2.8720
_cell_length_b 5.0987
_cell_length_c 4.9856
_cell_angle_alpha 90.00
_cell_angle_beta 95.72
_cell_angle_gamma 90.00
_symmetry_space_group_name_H-M 'P 1 2/m 1'
_symmetry_Int_Tables_number 10
_symmetry_space_group_name_Hall '-P 2y'
loop_
_atom_site_label
_atom_site_fract_x
_atom_site_fract_y
_atom_site_fract_z
Ca1 0.0000 0.0000 0.0000
Tc1 0.3416 0.5000 0.7664
Au1 0.5000 0.0000 0.5000
# calculated formation energy	0.404	eV/atom
# polymorph energy (0 for the lowest one)	349	meV per atom
# total magnetization	0.0000	μB/atom

=====

8.
# CaTcAu3, relaxed, DFT GGA-PBE
data_CaTcAu3
_cell_length_a 5.0690
_cell_length_b 5.0690
_cell_length_c 5.0690
_cell_angle_alpha 90.00
_cell_angle_beta 90.00
_cell_angle_gamma 90.00
_symmetry_space_group_name_H-M 'P m -3 m'
_symmetry_Int_Tables_number 221
_symmetry_space_group_name_Hall '-P 4 2 3'
loop_
_atom_site_label
_atom_site_fract_x
_atom_site_fract_y
_atom_site_fract_z
Ca1 0.0000 0.0000 0.0000
Tc1 0.5000 0.5000 0.5000
Au1 0.0000 0.5000 0.5000
# calculated formation energy	0.341	eV/atom
# polymorph energy (0 for the lowest one)	0	meV per atom
# total magnetization	0.3590	μB/atom

=====

9.
# Ca3TcAu, relaxed, DFT GGA-PBE
data_Ca3TcAu
_cell_length_a 5.5633
_cell_length_b 5.5633
_cell_length_c 5.5633
_cell_angle_alpha 90.00
_cell_angle_beta 90.00
_cell_angle_gamma 90.00
_symmetry_space_group_name_H-M 'P m -3 m'
_symmetry_Int_Tables_number 221
_symmetry_space_group_name_Hall '-P 4 2 3'
loop_
_atom_site_label
_atom_site_fract_x
_atom_site_fract_y
_atom_site_fract_z
Ca1 0.0000 0.0000 0.5000
Tc1 0.5000 0.5000 0.5000
Au1 0.0000 0.0000 0.0000
# calculated formation energy	0.514	eV/atom
# polymorph energy (0 for the lowest one)	88	meV per atom
# total magnetization	0.6532	μB/atom

=====

10.
# Ca2TcAu, relaxed, DFT GGA-PBE
data_Ca2TcAu
_cell_length_a 6.5593
_cell_length_b 6.6034
_cell_length_c 8.2251
_cell_angle_alpha 90.00
_cell_angle_beta 90.00
_cell_angle_gamma 90.00
_symmetry_space_group_name_H-M 'F m m m'
_symmetry_Int_Tables_number 69
_symmetry_space_group_name_Hall '-F 2 2'
loop_
_atom_site_label
_atom_site_fract_x
_atom_site_fract_y
_atom_site_fract_z
Ca1 0.2500 0.2500 0.2500
Tc1 0.0000 0.0000 0.0000
Au1 0.0000 0.0000 0.5000
# calculated formation energy	0.201	eV/atom
# polymorph energy (0 for the lowest one)	114	meV per atom
# total magnetization	0.3394	μB/atom

=====

11.
# Ca2TcAu, relaxed, DFT GGA-PBE
data_Ca2TcAu
_cell_length_a 3.5075
_cell_length_b 3.5257
_cell_length_c 8.3352
_cell_angle_alpha 90.00
_cell_angle_beta 90.00
_cell_angle_gamma 90.00
_symmetry_space_group_name_H-M 'P m m 2'
_symmetry_Int_Tables_number 25
_symmetry_space_group_name_Hall 'P 2 -2'
loop_
_atom_site_label
_atom_site_fract_x
_atom_site_fract_y
_atom_site_fract_z
Ca1 0.0000 0.0000 0.0000
Ca2 0.5000 0.5000 0.4016
Tc1 0.0000 0.0000 0.6338
Au1 0.5000 0.5000 0.7760
# calculated formation energy	0.234	eV/atom
# polymorph energy (0 for the lowest one)	147	meV per atom
# total magnetization	0.2664	μB/atom

=====

12.
# CaTc2Au, relaxed, DFT GGA-PBE
data_CaTc2Au
_cell_length_a 2.9485
_cell_length_b 4.6545
_cell_length_c 10.6480
_cell_angle_alpha 90.00
_cell_angle_beta 90.00
_cell_angle_gamma 90.00
_symmetry_space_group_name_H-M 'I m m m'
_symmetry_Int_Tables_number 71
_symmetry_space_group_name_Hall '-I 2 2'
loop_
_atom_site_label
_atom_site_fract_x
_atom_site_fract_y
_atom_site_fract_z
Ca1 0.0000 0.0000 0.0000
Tc1 0.0000 0.5000 0.2247
Au1 0.0000 0.0000 0.5000
# calculated formation energy	0.393	eV/atom
# polymorph energy (0 for the lowest one)	338	meV per atom
# total magnetization	0.0001	μB/atom